Below is a relaxed TaAl2Fe crystal, with properties calculated at the PBEsol level.

Cell and atoms, written as POSCAR:
```
TaAl2Fe
1.0
3.822 0.000 0.000
0.000 3.822 0.000
0.000 0.000 3.928
Ta Al Fe
1 2 1
direct
0.000 0.000 0.500
0.000 0.500 0.000
0.500 0.000 0.000
0.500 0.500 0.500
```

Values from the calculation:
Space-group type: P4/mmm (123)
Energy of formation in eV per atom: -0.19
Total DFT energy (no corrections) in eV per atom: -7.62



Below is a relaxed TaAl2Fe crystal, with properties calculated at the PBEsol level.

Cell and atoms, written as POSCAR:
```
TaAl2Fe
1.0
2.758 0.000 -0.007
0.000 4.086 0.000
-1.174 0.000 5.106
Al Ta Fe
2 1 1
direct
0.660 0.000 0.767
0.340 0.000 0.233
0.000 0.500 0.500
0.500 0.500 0.000
```

Values from the calculation:
Space-group type: P2/m (10)
Energy of formation in eV per atom: -0.14
Total DFT energy (no corrections) in eV per atom: -7.56



Below is a relaxed TaAl2Fe crystal, with properties calculated at the PBEsol level.

Cell and atoms, written as POSCAR:
```
TaAl2Fe
1.0
-1.760 1.000 2.013
1.744 -1.006 2.024
3.358 5.865 0.022
Al Ta Fe
2 1 1
direct
0.000 0.000 0.201
0.000 0.000 0.799
0.500 0.500 0.500
0.500 0.500 0.000
```

Values from the calculation:
Space-group type: P4/mmm (123)
Energy of formation in eV per atom: -0.30
Total DFT energy (no corrections) in eV per atom: -7.72



Below is a relaxed TbAl6Fe6 crystal, with properties calculated at the PBEsol level.

Cell and atoms, written as POSCAR:
```
TbAl6Fe6
1.0
-1.609 4.135 -2.127
-6.451 0.179 -0.463
-1.203 4.676 4.308
Fe Al Tb
6 6 1
direct
0.000 0.000 0.500
0.500 0.760 0.240
0.500 0.500 0.000
0.500 0.000 0.500
0.000 0.500 0.000
0.500 0.240 0.760
0.346 0.654 0.654
0.000 0.337 0.663
0.000 0.663 0.337
0.692 0.808 0.808
0.308 0.192 0.192
0.654 0.346 0.346
0.000 0.000 0.000
```

Values from the calculation:
Space-group type: Immm (71)
Energy of formation in eV per atom: -0.37
Total DFT energy (no corrections) in eV per atom: -6.78



Below is a relaxed Tb2AlFe3 crystal, with properties calculated at the PBEsol level.

Cell and atoms, written as POSCAR:
```
Tb2AlFe3
1.0
5.111 0.002 0.001
2.533 4.438 0.001
2.533 1.472 4.187
Fe Tb Al
3 2 1
direct
0.500 0.000 0.000
0.000 0.500 0.000
0.000 0.000 0.500
0.378 0.378 0.378
0.622 0.622 0.622
0.000 0.000 0.000
```

Values from the calculation:
Space-group type: R-3m (166)
Energy of formation in eV per atom: -0.15
Total DFT energy (no corrections) in eV per atom: -6.99



Below is a relaxed TbAl10Fe2 crystal, with properties calculated at the PBEsol level.

Cell and atoms, written as POSCAR:
```
TbAl10Fe2
1.0
6.704 -0.006 0.000
-0.846 6.650 0.000
0.000 0.000 8.894
Al Tb Fe
20 2 4
direct
0.841 0.159 0.403
0.522 0.780 0.750
0.841 0.159 0.097
0.159 0.841 0.903
0.625 0.375 0.950
0.220 0.478 0.750
0.780 0.522 0.250
0.159 0.841 0.597
0.375 0.625 0.450
0.227 0.227 0.000
0.133 0.414 0.250
0.625 0.375 0.550
0.773 0.773 0.500
0.478 0.220 0.250
0.773 0.773 0.000
0.375 0.625 0.050
0.867 0.586 0.750
0.414 0.133 0.750
0.586 0.867 0.250
0.227 0.227 0.500
0.875 0.125 0.750
0.125 0.875 0.250
0.500 0.000 0.500
0.500 0.000 0.000
0.000 0.500 0.500
0.000 0.500 0.000
```

Values from the calculation:
Space-group type: Cmcm (63)
Energy of formation in eV per atom: -0.37
Total DFT energy (no corrections) in eV per atom: -5.28



Below is a relaxed Tb2Al3Fe crystal, with properties calculated at the PBEsol level.

Cell and atoms, written as POSCAR:
```
Tb2Al3Fe
1.0
5.339 -0.002 -0.002
2.536 4.698 -0.002
2.536 1.512 4.448
Al Tb Fe
3 2 1
direct
0.500 0.000 0.000
0.000 0.000 0.500
0.000 0.500 0.000
0.626 0.626 0.626
0.374 0.374 0.374
0.000 0.000 0.000
```

Values from the calculation:
Space-group type: R-3m (166)
Energy of formation in eV per atom: -0.39
Total DFT energy (no corrections) in eV per atom: -5.60



Below is a relaxed Tb3Al4Fe2 crystal, with properties calculated at the PBEsol level.

Cell and atoms, written as POSCAR:
```
Tb3Al4Fe2
1.0
-3.356 3.986 0.955
-5.136 -1.100 0.842
2.119 -0.797 13.038
Tb Al Fe
6 8 4
direct
0.671 0.667 0.957
0.672 0.666 0.705
0.329 0.333 0.043
0.328 0.334 0.295
0.026 0.990 0.619
0.974 0.010 0.381
0.174 0.660 0.831
0.325 0.837 0.169
0.826 0.340 0.169
0.000 0.000 0.000
0.354 0.314 0.660
0.675 0.163 0.831
0.646 0.686 0.340
0.000 0.500 0.500
0.825 0.839 0.168
0.500 0.500 0.500
0.175 0.161 0.832
0.500 0.000 0.500
```

Values from the calculation:
Space-group type: P-1 (2)
Energy of formation in eV per atom: -0.35
Total DFT energy (no corrections) in eV per atom: -5.83



Below is a relaxed TbAl8Fe4 crystal, with properties calculated at the PBEsol level.

Cell and atoms, written as POSCAR:
```
TbAl8Fe4
1.0
-4.716 1.440 0.621
-1.991 -0.635 6.237
-0.472 6.389 1.490
Tb Fe Al
1 4 8
direct
0.000 0.000 0.000
0.500 0.500 0.000
0.500 0.000 0.500
0.000 0.500 0.000
0.000 0.000 0.500
0.279 0.221 0.221
0.500 0.221 0.779
0.660 0.340 0.340
0.000 0.340 0.660
0.000 0.660 0.340
0.340 0.660 0.660
0.721 0.779 0.779
0.500 0.779 0.221
```

Values from the calculation:
Space-group type: I4/mmm (139)
Energy of formation in eV per atom: -0.43
Total DFT energy (no corrections) in eV per atom: -6.09



Below is a relaxed AlFeTc2 crystal, with properties calculated at the PBEsol level.

Cell and atoms, written as POSCAR:
```
AlFeTc2
1.0
2.618 -0.027 -0.045
-0.731 4.808 -0.012
-0.731 -2.286 4.229
Tc Al Fe
2 1 1
direct
0.000 0.500 0.000
0.000 0.000 0.500
0.500 0.000 0.000
0.500 0.500 0.500
```

Values from the calculation:
Space-group type: C2/m (12)
Energy of formation in eV per atom: -0.01
Total DFT energy (no corrections) in eV per atom: -8.91



Below is a relaxed AlFeTc crystal, with properties calculated at the PBEsol level.

Cell and atoms, written as POSCAR:
```
AlFeTc
1.0
-0.048 2.226 -1.658
-2.758 -0.222 -0.218
0.872 1.838 4.765
Fe Al Tc
1 1 1
direct
0.334 0.334 0.668
0.990 0.990 0.980
0.676 0.676 0.352
```

Values from the calculation:
Space-group type: I4mm (107)
Energy of formation in eV per atom: -0.28
Total DFT energy (no corrections) in eV per atom: -8.39



Below is a relaxed AlFe2Tc crystal, with properties calculated at the PBEsol level.

Cell and atoms, written as POSCAR:
```
AlFe2Tc
1.0
-0.830 -2.070 1.662
2.602 -2.570 -1.901
2.805 1.125 2.802
Tc Fe Al
1 2 1
direct
0.500 0.000 0.000
0.000 0.000 0.500
0.000 0.500 0.000
0.500 0.500 0.500
```

Values from the calculation:
Space-group type: Cmmm (65)
Energy of formation in eV per atom: -0.07
Total DFT energy (no corrections) in eV per atom: -8.39



Which of these has the highest energy of formation?
AlFeTc2



energy of formation of number 3 (TaAl2Fe)?
-0.30 eV per atom



What is the formula in the sixth record?
TbAl10Fe2